The following is a DFT calculation (GGA-PBE) of TlOs2O6 after structural relaxation.

Cell: 7.2247 7.2247 7.2247 Å, 60.00 60.00 60.00°
With the nearest neighbours (Å) after each atom.
Atoms (fractional coordinates):
O1 0.0592 0.4408 0.0592  2 Os 1.93
Os1 0.1250 0.6250 0.1250  6 O 1.93
O2 0.8092 0.8092 0.1908  2 Os 1.93
O3 0.4408 0.0592 0.4408  2 Os 1.93
O4 0.4408 0.0592 0.0592  2 Os 1.93
Tl1 0.7500 0.7500 0.7500  6 O 3.16
O5 0.0592 0.0592 0.4408  2 Os 1.93
O6 0.1908 0.8092 0.1908  2 Os 1.93
O7 0.1908 0.1908 0.8092  2 Os 1.93
O8 0.1908 0.8092 0.8092  2 Os 1.93
Os2 0.1250 0.1250 0.6250  6 O 1.93
O9 0.4408 0.4408 0.0592  2 Os 1.93
Os3 0.1250 0.1250 0.1250  6 O 1.93
O10 0.0592 0.4408 0.4408  2 Os 1.93
O11 0.8092 0.1908 0.1908  2 Os 1.93
Os4 0.6250 0.1250 0.1250  6 O 1.93
O12 0.8092 0.1908 0.8092  2 Os 1.93
Tl2 0.5000 0.5000 0.5000  6 O 3.16

The magnetic moment comes out at 0.000 μB per atom. The crystal system is cubic. The value obtained for the density of states at the Fermi level is 10.9 states/eV/cell. The energy comes out at -126.6 eV for the cell shown.